# PBE Nd7Sn5Pb, relaxed
# mass density: 7.43 g cm⁻³
# Fermi-level density of states: 24.615 states/eV/cell
# energy: -127.45 eV for the cell shown
# ΔH_f (0 K): -0.5097 eV per atom
# crystal system: orthorhombic
data_Nd7Sn5Pb
_chemical_formula_sum 'Nd14 Sn10 Pb2'
_space_group_name_H-M_alt 'I m m 2'
_space_group_IT_number 44
_cell_length_a 6.3695
_cell_length_b 11.6564
_cell_length_c 10.9053
_cell_angle_alpha 90.00
_cell_angle_beta 90.00
_cell_angle_gamma 90.00
loop_
_space_group_symop_operation_xyz
'x,y,z'
'-x,-y,z'
'-x,y,z'
'x,-y,z'
'x+1/2,y+1/2,z+1/2'
'-x+1/2,-y+1/2,z+1/2'
'-x+1/2,y+1/2,z+1/2'
'x+1/2,-y+1/2,z+1/2'
loop_
_atom_site_label
_atom_site_type_symbol
_atom_site_fract_x
_atom_site_fract_y
_atom_site_fract_z
_atom_site_occupancy
Nd1 Nd 0.0000 0.0000 0.0000 1
Nd2 Nd 0.0000 0.0000 0.3906 1
Nd3 Nd 0.0000 0.3310 0.6151 1
Nd4 Nd 0.0000 0.3374 0.0981 1
Nd5 Nd 0.0000 0.5000 0.3437 1
Sn1 Sn 0.0000 0.5000 0.8516 1
Sn2 Sn 0.2493 0.2567 0.3609 1
Pb1 Pb 0.0000 0.0000 0.6909 1